Here is a geometry-optimized ZnHg2Ru structure from Alexandria via LeMat-Bulk. Energies are from PBE.

The structure in POSCAR format:
```
ZnHg2Ru
1.0
-4.997 -0.981 -1.347
-0.650 -4.222 -3.083
2.521 0.964 4.523
Hg Ru Zn
2 1 1
direct
0.000 0.000 0.000
0.500 0.500 0.000
0.750 0.250 0.500
0.250 0.750 0.500
```

Formation enthalpy at 0 K (eV/atom): 0.396
Crystal system: tetragonal

=====

Here is a geometry-optimized CdC2O2 structure from Alexandria via LeMat-Bulk. Energies are from PBE.

The structure in POSCAR format:
```
CdC2O2
1.0
7.902 0.000 0.000
0.000 7.902 0.000
0.000 0.000 2.338
C O Cd
4 4 2
direct
0.305 0.805 0.000
0.805 0.695 0.000
0.695 0.195 0.000
0.195 0.305 0.000
0.377 0.877 0.500
0.877 0.623 0.500
0.623 0.123 0.500
0.123 0.377 0.500
0.000 0.000 0.000
0.500 0.500 0.000
```

Crystal system: tetragonal
Formation energy without anion corrections (eV/atom): 0.69

=====

Here is a geometry-optimized Li2FeH structure from Alexandria via LeMat-Bulk. Energies are from PBE.

The structure in POSCAR format:
```
Li2FeH
1.0
-3.689 -1.887 -3.405
2.861 -4.495 -0.609
-2.035 -4.564 0.510
H Fe Li
2 2 4
direct
0.500 0.500 0.000
0.250 0.750 0.500
0.000 0.000 0.000
0.750 0.250 0.500
0.475 0.125 0.250
0.275 0.625 0.250
0.375 0.525 0.750
0.875 0.725 0.750
```

Polymorph energy (0 for the lowest one) (eV/f.u.): 0.000
Crystal system: tetragonal

=====

Here is a geometry-optimized Cs2RbGaSn2 structure from Alexandria via LeMat-Bulk. Energies are from PBE.

The structure in POSCAR format:
```
Cs2RbGaSn2
1.0
-1.606 1.223 -3.805
-1.608 -11.356 -2.972
-9.994 0.287 4.311
Cs Rb Ga Sn
4 2 2 4
direct
0.500 0.074 0.133
0.000 0.440 0.228
0.500 0.574 0.867
0.000 0.940 0.772
0.000 0.899 0.418
0.000 0.399 0.582
0.500 0.216 0.767
0.500 0.716 0.233
0.000 0.271 0.911
0.500 0.144 0.530
0.000 0.771 0.089
0.500 0.644 0.470
```

Formation enthalpy at 0 K (eV/atom): -0.092
Crystal system: orthorhombic

=====

Here is a geometry-optimized CePm12Tl3 structure from Alexandria via LeMat-Bulk. Energies are from PBE.

The structure in POSCAR format:
```
CePm12Tl3
1.0
-4.212 -1.345 2.252
2.570 -1.267 4.051
-2.138 18.836 7.248
Ce Pm Tl
1 12 3
direct
0.000 0.000 0.000
0.500 0.500 0.000
0.500 0.500 0.254
0.500 0.500 0.500
0.500 0.500 0.746
0.500 0.000 0.129
0.500 0.000 0.377
0.500 0.000 0.623
0.500 0.000 0.871
0.000 0.500 0.129
0.000 0.500 0.377
0.000 0.500 0.623
0.000 0.500 0.871
0.000 0.000 0.255
0.000 0.000 0.500
0.000 0.000 0.745
```

Formation enthalpy at 0 K (eV/atom): -0.127
Crystal system: tetragonal

=====

Here is a geometry-optimized PuTe3Pd3 structure from Alexandria via LeMat-Bulk. Energies are from PBE.

The structure in POSCAR format:
```
PuTe3Pd3
1.0
-5.403 0.443 4.966
-4.210 -4.331 -4.193
2.672 -5.925 3.436
Te Pd Pu
6 6 2
direct
0.250 0.000 0.500
0.000 0.500 0.250
0.500 0.750 0.000
0.750 0.000 0.500
0.000 0.500 0.750
0.500 0.250 0.000
0.000 0.250 0.500
0.000 0.750 0.500
0.500 0.000 0.750
0.750 0.500 0.000
0.500 0.000 0.250
0.250 0.500 0.000
0.500 0.500 0.500
0.000 0.000 0.000
```

Crystal system: cubic
Formation energy without anion corrections (eV/atom): -0.19

=====

Here is a geometry-optimized TaZn4Sb structure from Alexandria via LeMat-Bulk. Energies are from PBE.

The structure in POSCAR format:
```
TaZn4Sb
1.0
-2.554 -2.266 3.939
0.985 1.435 4.913
-3.559 2.695 2.691
Ta Zn Sb
1 4 1
direct
0.000 0.000 0.000
0.627 0.627 0.120
0.627 0.120 0.627
0.627 0.627 0.627
0.120 0.627 0.627
0.250 0.250 0.250
```

Crystal system: cubic
Formation energy without anion corrections (eV/atom): 0.25

=====

Here is a geometry-optimized YErTc4 structure from Alexandria via LeMat-Bulk. Energies are from PBE.

The structure in POSCAR format:
```
YErTc4
1.0
-1.275 2.879 4.383
-4.840 2.358 0.366
-3.660 -1.879 3.492
Y Tc Er
1 4 1
direct
0.250 0.250 0.250
0.625 0.625 0.125
0.625 0.125 0.625
0.625 0.625 0.625
0.125 0.625 0.625
0.000 0.000 0.000
```

Formation enthalpy at 0 K (eV/atom): -0.160
Crystal system: cubic

=====

Please write out number 4 again, unchanged.
Here is a geometry-optimized Cs2RbGaSn2 structure from Alexandria via LeMat-Bulk. Energies are from PBE.

The structure in POSCAR format:
```
Cs2RbGaSn2
1.0
-1.606 1.223 -3.805
-1.608 -11.356 -2.972
-9.994 0.287 4.311
Cs Rb Ga Sn
4 2 2 4
direct
0.500 0.074 0.133
0.000 0.440 0.228
0.500 0.574 0.867
0.000 0.940 0.772
0.000 0.899 0.418
0.000 0.399 0.582
0.500 0.216 0.767
0.500 0.716 0.233
0.000 0.271 0.911
0.500 0.144 0.530
0.000 0.771 0.089
0.500 0.644 0.470
```

Formation enthalpy at 0 K (eV/atom): -0.092
Crystal system: orthorhombic